The following is a DFT calculation (PBEsol) of ZrBrN after structural relaxation.

Cell and atoms, written as extended XYZ:
```
6
Lattice="3.625 0.000 0.000 1.812 3.139 0.000 1.812 1.046 10.027" Properties=species:S:1:pos:R:3 pbc="T T T"
Zr 5.437 3.139 3.721
Zr 1.812 1.046 6.306
Br 3.625 2.093 1.758
Br 3.625 2.093 8.268
N 5.437 3.139 5.876
N 1.812 1.046 4.151
```

Values from the calculation:
As for the uncorrected energy: -8.259 eV per atom.